Here is a relaxed structure of Th2V2Fe15 from Alexandria. Energies are from PBE.

Computed properties:
- Crystal system: trigonal
- Final energy: -483.29 eV/cell

```
data_Th2V2Fe15
_chemical_formula_sum 'Th6 V6 Fe45'
_space_group_name_H-M_alt 'R -3 m'
_space_group_IT_number 166
_space_group_name_Hall '-R 3 2"'
_cell_length_a 8.4184
_cell_length_b 8.4184
_cell_length_c 12.7078
_cell_angle_alpha 90.00
_cell_angle_beta 90.00
_cell_angle_gamma 120.00
loop_
_atom_site_label
_atom_site_type_symbol
_atom_site_fract_x
_atom_site_fract_y
_atom_site_fract_z
Th1 Th 0.0000 0.0000 0.1542
V1 V 0.0000 0.0000 0.4048
Fe1 Fe 0.0000 0.2966 0.5000
Fe2 Fe 0.0000 0.5000 0.0000
Fe3 Fe 0.0029 0.5014 0.3410
```

***

Here is a relaxed structure of AcPd2 from Alexandria. Energies are from PBE.

Computed properties:
- E above lowest polymorph: 0 meV per atom
- Crystal system: orthorhombic
- Final energy: -33.59 eV/cell

```
data_AcPd2
_chemical_formula_sum 'Ac2 Pd4'
_space_group_name_H-M_alt 'C m m m'
_space_group_IT_number 65
_space_group_name_Hall '-C 2 2'
_cell_length_a 4.583
_cell_length_b 7.958
_cell_length_c 4.056
_cell_angle_alpha 90.00
_cell_angle_beta 90.00
_cell_angle_gamma 90.00
loop_
_atom_site_label
_atom_site_type_symbol
_atom_site_fract_x
_atom_site_fract_y
_atom_site_fract_z
Ac1 Ac 0.000 0.000 0.000
Pd1 Pd 0.000 0.334 0.500
```

***

Here is a relaxed structure of Rb2TaMnCd from Alexandria. Energies are from PBE.

Computed properties:
- Crystal system: tetragonal
- Final energy: -13.47 eV/cell

```
data_Rb2TaMnCd
_chemical_formula_sum 'Rb2 Ta1 Mn1 Cd1'
_space_group_name_H-M_alt 'P 4/m m m'
_space_group_IT_number 123
_space_group_name_Hall '-P 4 2'
_cell_length_a 5.489
_cell_length_b 5.489
_cell_length_c 5.185
_cell_angle_alpha 90.00
_cell_angle_beta 90.00
_cell_angle_gamma 90.00
loop_
_atom_site_label
_atom_site_type_symbol
_atom_site_fract_x
_atom_site_fract_y
_atom_site_fract_z
Rb1 Rb 0.000 0.500 0.000
Ta1 Ta 0.000 0.000 0.500
Mn1 Mn 0.500 0.500 0.000
Cd1 Cd 0.500 0.500 0.500
```

***

Here is a relaxed structure of ThBiTe from Alexandria. Energies are from PBE.

Computed properties:
- Formation energy from raw total energies: -81 kJ/mol of formula units
- E above lowest polymorph: 621 meV per atom
- Crystal system: trigonal
- Final energy: -15.28 eV/cell

```
data_ThBiTe
_chemical_formula_sum 'Th1 Bi1 Te1'
_space_group_name_H-M_alt 'P 3 m 1'
_space_group_IT_number 156
_cell_length_a 5.4405
_cell_length_b 5.4405
_cell_length_c 3.7864
_cell_angle_alpha 90.00
_cell_angle_beta 90.00
_cell_angle_gamma 120.00
loop_
_space_group_symop_operation_xyz
'x,y,z'
'-y,x-y,z'
'-x+y,-x,z'
'-y,-x,z'
'-x+y,y,z'
'x,x-y,z'
loop_
_atom_site_label
_atom_site_type_symbol
_atom_site_fract_x
_atom_site_fract_y
_atom_site_fract_z
Th1 Th 0.0000 0.0000 0.0000
Bi1 Bi 0.3333 0.6667 0.0111
Te1 Te 0.6667 0.3333 0.5034
```

***

Here is a relaxed structure of Ca4AgPbO from Alexandria. Energies are from PBE.

Computed properties:
- Formation energy from raw total energies: -719 kJ/mol of formula units
- Crystal system: orthorhombic
- Final energy: -107.89 eV/cell

```
data_Ca4AgPbO
_chemical_formula_sum 'Ca16 Ag4 Pb4 O4'
_space_group_name_H-M_alt 'C m c m'
_space_group_IT_number 63
_space_group_name_Hall '-C 2c 2'
_cell_length_a 6.656
_cell_length_b 17.352
_cell_length_c 6.548
_cell_angle_alpha 90.00
_cell_angle_beta 90.00
_cell_angle_gamma 90.00
loop_
_atom_site_label
_atom_site_type_symbol
_atom_site_fract_x
_atom_site_fract_y
_atom_site_fract_z
Ca1 Ca 0.000 0.067 0.250
Ca2 Ca 0.000 0.410 0.250
Ca3 Ca 0.250 0.250 0.000
Ag1 Ag 0.000 0.389 0.750
Pb1 Pb 0.000 0.114 0.750
O1 O 0.000 0.272 0.250
```

***

Here is a relaxed structure of Na2GaSnH from Alexandria. Energies are from PBE.

Computed properties:
- E above lowest polymorph: 0 meV per atom
- Crystal system: tetragonal
- Final energy: -13.18 eV/cell

```
data_Na2GaSnH
_chemical_formula_sum 'Na2 Ga1 Sn1 H1'
_space_group_name_H-M_alt 'P 4/m m m'
_space_group_IT_number 123
_space_group_name_Hall '-P 4 2'
_cell_length_a 4.382
_cell_length_b 4.382
_cell_length_c 5.103
_cell_angle_alpha 90.00
_cell_angle_beta 90.00
_cell_angle_gamma 90.00
loop_
_atom_site_label
_atom_site_type_symbol
_atom_site_fract_x
_atom_site_fract_y
_atom_site_fract_z
Na1 Na 0.000 0.500 0.000
Ga1 Ga 0.000 0.000 0.500
Sn1 Sn 0.500 0.500 0.500
H1 H 0.000 0.000 0.000
```

***

Here is a relaxed structure of Be2SiRh5 from Alexandria. Energies are from PBE.

Computed properties:
- Formation energy from raw total energies: -404 kJ/mol of formula units
- Crystal system: orthorhombic
- Final energy: -107.64 eV/cell

```
data_Be2SiRh5
_chemical_formula_sum 'Be4 Si2 Rh10'
_space_group_name_H-M_alt 'P b a m'
_space_group_IT_number 55
_cell_length_a 5.110
_cell_length_b 9.757
_cell_length_c 3.989
_cell_angle_alpha 90.00
_cell_angle_beta 90.00
_cell_angle_gamma 90.00
loop_
_space_group_symop_operation_xyz
'x,y,z'
'-x,-y,-z'
'-x,-y,z'
'x,y,-z'
'x+1/2,-y+1/2,-z'
'-x+1/2,y+1/2,z'
'-x+1/2,y+1/2,-z'
'x+1/2,-y+1/2,z'
loop_
_atom_site_label
_atom_site_type_symbol
_atom_site_fract_x
_atom_site_fract_y
_atom_site_fract_z
Be1 Be 0.136 0.130 0.000
Si1 Si 0.000 0.500 0.500
Rh1 Rh 0.000 0.000 0.500
Rh2 Rh 0.151 0.726 0.500
Rh3 Rh 0.166 0.386 0.000
```

***

Here is a relaxed structure of Li12Si7 from Alexandria. Energies are from PBE.

Computed properties:
- Formation energy from raw total energies: -440 kJ/mol of formula units
- Crystal system: orthorhombic
- Final energy: -523.89 eV/cell

```
data_Li12Si7
_chemical_formula_sum 'Li96 Si56'
_space_group_name_H-M_alt 'P n m a'
_space_group_IT_number 62
_cell_length_a 8.525
_cell_length_b 19.623
_cell_length_c 14.319
_cell_angle_alpha 90.00
_cell_angle_beta 90.00
_cell_angle_gamma 90.00
loop_
_space_group_symop_operation_xyz
'x,y,z'
'-x,-y,-z'
'-x+1/2,-y,z+1/2'
'x+1/2,y,-z+1/2'
'x+1/2,-y+1/2,-z+1/2'
'-x+1/2,y+1/2,z+1/2'
'-x,y+1/2,-z'
'x,-y+1/2,z'
loop_
_atom_site_label
_atom_site_type_symbol
_atom_site_fract_x
_atom_site_fract_y
_atom_site_fract_z
Li1 Li 0.003 0.125 0.028
Li2 Li 0.110 0.187 0.344
Li3 Li 0.112 0.750 0.132
Li4 Li 0.124 0.165 0.660
Li5 Li 0.128 0.144 0.862
Li6 Li 0.129 0.032 0.744
Li7 Li 0.130 0.528 0.566
Li8 Li 0.130 0.613 0.763
Li9 Li 0.133 0.505 0.932
Li10 Li 0.138 0.188 0.162
Li11 Li 0.138 0.671 0.522
Li12 Li 0.157 0.111 0.495
Li13 Li 0.165 0.750 0.333
Si1 Si 0.106 0.565 0.386
Si2 Si 0.116 0.250 0.992
Si3 Si 0.118 0.051 0.334
Si4 Si 0.120 0.053 0.169
Si5 Si 0.123 0.250 0.512
Si6 Si 0.124 0.632 0.248
Si7 Si 0.128 0.750 0.764
Si8 Si 0.131 0.561 0.114
Si9 Si 0.132 0.750 0.930
```

***

Here is a relaxed structure of CsFe2I from Alexandria. Energies are from PBE.

Computed properties:
- Formation energy from raw total energies: 302 kJ/mol of formula units
- Crystal system: tetragonal
- Final energy: -64.81 eV/cell

```
data_CsFe2I
_chemical_formula_sum 'Cs4 Fe8 I4'
_space_group_name_H-M_alt 'I 41/a m d'
_space_group_IT_number 141
_cell_length_a 5.074
_cell_length_b 5.074
_cell_length_c 20.178
_cell_angle_alpha 90.00
_cell_angle_beta 90.00
_cell_angle_gamma 90.00
loop_
_space_group_symop_operation_xyz
'x,y,z'
'-x,-y,-z'
'-y+1/4,x+3/4,z+1/4'
'y+1/4,-x+3/4,-z+1/4'
'-x+1/2,-y,z+1/2'
'x+1/2,y,-z+1/2'
'y+1/4,-x+1/4,z+3/4'
'-y+1/4,x+1/4,-z+3/4'
'x,-y,-z'
'-x,y,z'
'-y+1/4,-x+1/4,-z+3/4'
'y+1/4,x+1/4,z+3/4'
'-x+1/2,y,-z+1/2'
'x+1/2,-y,z+1/2'
'y+1/4,x+3/4,-z+1/4'
'-y+1/4,-x+3/4,z+1/4'
'x+1/2,y+1/2,z+1/2'
'-x+1/2,-y+1/2,-z+1/2'
'-y+3/4,x+1/4,z+3/4'
'y+3/4,-x+1/4,-z+3/4'
'-x,-y+1/2,z'
'x,y+1/2,-z'
'y+3/4,-x+3/4,z+1/4'
'-y+3/4,x+3/4,-z+1/4'
'x+1/2,-y+1/2,-z+1/2'
'-x+1/2,y+1/2,z+1/2'
'-y+3/4,-x+3/4,-z+1/4'
'y+3/4,x+3/4,z+1/4'
'-x,y+1/2,-z'
'x,-y+1/2,z'
'y+3/4,x+1/4,-z+3/4'
'-y+3/4,-x+1/4,z+3/4'
loop_
_atom_site_label
_atom_site_type_symbol
_atom_site_fract_x
_atom_site_fract_y
_atom_site_fract_z
Cs1 Cs 0.000 0.250 0.375
Fe1 Fe 0.000 0.000 0.000
I1 I 0.000 0.250 0.875
```

***

Here is a relaxed structure of Li3PrTh2Te6 from Alexandria. Energies are from PBE.

Computed properties:
- Formation energy from raw total energies: -1338 kJ/mol of formula units
- Crystal system: monoclinic
- Final energy: -116.16 eV/cell

```
data_Li3PrTh2Te6
_chemical_formula_sum 'Li6 Pr2 Th4 Te12'
_space_group_name_H-M_alt 'C 1 2/m 1'
_space_group_IT_number 12
_cell_length_a 7.559
_cell_length_b 13.092
_cell_length_c 7.669
_cell_angle_alpha 90.00
_cell_angle_beta 109.18
_cell_angle_gamma 90.00
loop_
_space_group_symop_operation_xyz
'x,y,z'
'-x,-y,-z'
'-x,y,-z'
'x,-y,z'
'x+1/2,y+1/2,z'
'-x+1/2,-y+1/2,-z'
'-x+1/2,y+1/2,-z'
'x+1/2,-y+1/2,z'
loop_
_atom_site_label
_atom_site_type_symbol
_atom_site_fract_x
_atom_site_fract_y
_atom_site_fract_z
Li1 Li 0.000 0.000 0.000
Li2 Li 0.000 0.335 0.000
Pr1 Pr 0.000 0.500 0.500
Th1 Th 0.000 0.167 0.500
Te1 Te 0.241 0.169 0.232
Te2 Te 0.248 0.500 0.230
```

***

Here is a relaxed structure of AcVNi from Alexandria. Energies are from PBE.

Computed properties:
- Crystal system: tetragonal
- Final energy: -37.73 eV/cell

```
data_AcVNi
_chemical_formula_sum 'Ac2 V2 Ni2'
_space_group_name_H-M_alt 'P 4/n m m'
_space_group_IT_number 129
_cell_length_a 4.110
_cell_length_b 4.110
_cell_length_c 7.958
_cell_angle_alpha 90.00
_cell_angle_beta 90.00
_cell_angle_gamma 90.00
loop_
_space_group_symop_operation_xyz
'x,y,z'
'-x,-y,-z'
'-y+1/2,x,z'
'y+1/2,-x,-z'
'-x+1/2,-y+1/2,z'
'x+1/2,y+1/2,-z'
'y,-x+1/2,z'
'-y,x+1/2,-z'
'x+1/2,-y,-z'
'-x+1/2,y,z'
'-y,-x,-z'
'y,x,z'
'-x,y+1/2,-z'
'x,-y+1/2,z'
'y+1/2,x+1/2,-z'
'-y+1/2,-x+1/2,z'
loop_
_atom_site_label
_atom_site_type_symbol
_atom_site_fract_x
_atom_site_fract_y
_atom_site_fract_z
Ac1 Ac 0.250 0.250 0.170
V1 V 0.250 0.750 0.500
Ni1 Ni 0.250 0.250 0.658
```

***

Here is a relaxed structure of Mo2C3 from Alexandria. Energies are from PBE.

Computed properties:
- E above lowest polymorph: 0 meV per atom
- Crystal system: orthorhombic
- Final energy: -363.36 eV/cell

```
data_Mo2C3
_chemical_formula_sum 'Mo16 C24'
_space_group_name_H-M_alt 'F d d 2'
_space_group_IT_number 43
_space_group_name_Hall 'F 2 -2d'
_cell_length_a 9.336
_cell_length_b 10.329
_cell_length_c 4.101
_cell_angle_alpha 90.00
_cell_angle_beta 90.00
_cell_angle_gamma 90.00
loop_
_atom_site_label
_atom_site_type_symbol
_atom_site_fract_x
_atom_site_fract_y
_atom_site_fract_z
Mo1 Mo 0.052 0.169 0.000
C1 C 0.000 0.000 0.668
C2 C 0.079 0.483 0.795
```